# 1
# Ba2TiO4 meta-GGA SCAN PBEsol geometry
# * formation energy (no corrections): -3.266 eV per atom
# * magnetization: 0.0 μB/cell
# * theoretical density: 5.22 Mg/m³
data_Ba2TiO4
_chemical_formula_sum 'Ba24 Ti12 O48'
_cell_length_a 6.0938
_cell_length_b 10.5309
_cell_length_c 22.9745
_cell_angle_alpha 90.00
_cell_angle_beta 90.00
_cell_angle_gamma 90.00
_symmetry_space_group_name_H-M 'P 1'
_symmetry_Int_Tables_number 1
loop_
_symmetry_equiv_pos_as_xyz
'x,y,z'
loop_
_atom_site_label
_atom_site_type_symbol
_atom_site_fract_x
_atom_site_fract_y
_atom_site_fract_z
Ba1 Ba 0.7659 0.4233 0.1112
Ba2 Ba 0.7344 0.7996 0.1648
Ba3 Ba 0.2344 0.2004 0.8352
Ba4 Ba 0.2831 0.5730 0.5542
Ba5 Ba 0.2381 0.9261 0.7191
Ba6 Ba 0.2894 0.2010 0.5023
Ba7 Ba 0.7659 0.0767 0.6112
Ba8 Ba 0.2517 0.1976 0.1696
Ba9 Ba 0.2894 0.2990 0.0023
Ba10 Ba 0.2659 0.9233 0.3888
Ba11 Ba 0.2517 0.3024 0.6696
Ba12 Ba 0.7344 0.7004 0.6648
Ba13 Ba 0.7831 0.4270 0.4458
Ba14 Ba 0.2381 0.5739 0.2191
Ba15 Ba 0.2344 0.2996 0.3352
Ba16 Ba 0.2659 0.5767 0.8888
Ba17 Ba 0.7894 0.7990 0.4977
Ba18 Ba 0.2831 0.9270 0.0542
Ba19 Ba 0.7517 0.8024 0.8304
Ba20 Ba 0.7517 0.6976 0.3304
Ba21 Ba 0.7831 0.0730 0.9458
Ba22 Ba 0.7894 0.7010 0.9977
Ba23 Ba 0.7381 0.4261 0.7809
Ba24 Ba 0.7381 0.0739 0.2809
O1 O 0.5096 0.3533 0.5753
O2 O 0.0330 0.7948 0.2515
O3 O 0.5330 0.2052 0.7485
O4 O 0.4735 0.7969 0.5800
O5 O 0.8254 0.9379 0.3895
O6 O 0.8216 0.5636 0.5551
O7 O 0.8141 0.4384 0.3351
O8 O 0.6774 0.4477 0.0024
O9 O 0.1774 0.5523 0.9976
O10 O 0.0023 0.3592 0.2265
O11 O 0.6814 0.9372 0.7222
O12 O 0.1774 0.9477 0.4976
O13 O 0.8254 0.5621 0.8895
O14 O 0.0063 0.8568 0.6065
O15 O 0.9860 0.2991 0.5731
O16 O 0.3155 0.5558 0.3286
O17 O 0.5330 0.2948 0.2485
O18 O 0.0023 0.1408 0.7265
O19 O 0.3216 0.0636 0.9449
O20 O 0.0330 0.7052 0.7515
O21 O 0.8141 0.0616 0.8351
O22 O 0.4735 0.7031 0.0800
O23 O 0.1814 0.0628 0.2778
O24 O 0.0096 0.6467 0.4247
O25 O 0.3155 0.9442 0.8286
O26 O 0.5023 0.6408 0.7735
O27 O 0.8155 0.4442 0.6714
O28 O 0.3254 0.0621 0.6105
O29 O 0.5063 0.3568 0.8935
O30 O 0.6814 0.5628 0.2222
O31 O 0.9735 0.2969 0.9200
O32 O 0.3254 0.4379 0.1105
O33 O 0.8216 0.9364 0.0551
O34 O 0.9735 0.2031 0.4200
O35 O 0.8155 0.0558 0.1714
O36 O 0.3141 0.9384 0.1649
O37 O 0.3141 0.5616 0.6649
O38 O 0.3216 0.4364 0.4449
O39 O 0.0096 0.8533 0.9247
O40 O 0.6774 0.0523 0.5024
O41 O 0.0063 0.6432 0.1065
O42 O 0.9860 0.2009 0.0731
O43 O 0.1814 0.4372 0.7778
O44 O 0.5023 0.8592 0.2735
O45 O 0.5063 0.1432 0.3935
O46 O 0.5096 0.1467 0.0753
O47 O 0.4860 0.7991 0.9269
O48 O 0.4860 0.7009 0.4269
Ti1 Ti 0.7567 0.4150 0.9279
Ti2 Ti 0.2797 0.9140 0.9052
Ti3 Ti 0.7472 0.0868 0.7594
Ti4 Ti 0.2567 0.5850 0.0721
Ti5 Ti 0.7567 0.0850 0.4279
Ti6 Ti 0.7797 0.0860 0.0948
Ti7 Ti 0.7797 0.4140 0.5948
Ti8 Ti 0.2567 0.9150 0.5721
Ti9 Ti 0.2797 0.5860 0.4052
Ti10 Ti 0.7472 0.4132 0.2594
Ti11 Ti 0.2472 0.5868 0.7406
Ti12 Ti 0.2472 0.9132 0.2406

=====

# 2
# BiC3Cl meta-GGA SCAN PBEsol geometry
# * formation energy (no corrections): 3.375 eV per atom
# * magnetization: 0.1 μB/cell
# * theoretical density: 7.43 Mg/m³
data_BiC3Cl
_chemical_formula_sum 'Bi1 C3 Cl1'
_cell_length_a 3.9719
_cell_length_b 3.9719
_cell_length_c 3.9719
_cell_angle_alpha 90.00
_cell_angle_beta 90.00
_cell_angle_gamma 90.00
_symmetry_space_group_name_H-M 'P 1'
_symmetry_Int_Tables_number 1
loop_
_symmetry_equiv_pos_as_xyz
'x,y,z'
loop_
_atom_site_label
_atom_site_type_symbol
_atom_site_fract_x
_atom_site_fract_y
_atom_site_fract_z
C1 C 0.0000 0.5000 0.0000
C2 C 0.0000 0.0000 0.5000
C3 C 0.5000 0.0000 0.0000
Bi1 Bi 0.5000 0.5000 0.5000
Cl1 Cl 0.0000 0.0000 0.0000

=====

# 3
# SiPbW2 meta-GGA SCAN PBEsol geometry
# * formation energy (no corrections): 1.071 eV per atom
# * magnetization: 0.0 μB/cell
# * theoretical density: 14.64 Mg/m³
data_SiPbW2
_chemical_formula_sum 'Si1 Pb1 W2'
_cell_length_a 2.9592
_cell_length_b 5.2282
_cell_length_c 5.2282
_cell_angle_alpha 113.38
_cell_angle_beta 102.35
_cell_angle_gamma 102.35
_symmetry_space_group_name_H-M 'P 1'
_symmetry_Int_Tables_number 1
loop_
_symmetry_equiv_pos_as_xyz
'x,y,z'
loop_
_atom_site_label
_atom_site_type_symbol
_atom_site_fract_x
_atom_site_fract_y
_atom_site_fract_z
Pb1 Pb 0.5000 0.0000 0.0000
Si1 Si 0.5000 0.5000 0.5000
W1 W 0.0000 0.5000 0.0000
W2 W 0.0000 0.0000 0.5000

=====

Among the records above, which one has the highest magnetization?
BiC3Cl